DFT (GGA-PBEsol) results for Hf3RuI after structural relaxation.

Lattice parameters (Å, degrees): 5.0067 5.0067 5.0067 90.00 90.00 90.00
Fractional positions:
I: 0.0000 0.0000 0.0000
Ru: 0.5000 0.5000 0.5000
Hf: 0.0000 0.5000 0.0000
Hf: 0.0000 0.0000 0.5000
Hf: 0.5000 0.0000 0.0000

Symmetry ... Pm-3m (221)
Volume ... 25.10 Å³/atom
Formation energy (no corrections) ... 1.683 eV/atom
Total magnetization ... 0.0 μB per formula unit
Fermi-level density of states ... 3.80 states/eV/cell

---

DFT (GGA-PBEsol) results for Hf3SbI after structural relaxation.

Lattice parameters (Å, degrees): 5.2504 5.2504 5.2504 90.00 90.00 90.00
Fractional positions:
I: 0.5000 0.5000 0.5000
Sb: 0.0000 0.0000 0.0000
Hf: 0.0000 0.5000 0.0000
Hf: 0.0000 0.0000 0.5000
Hf: 0.5000 0.0000 0.0000

Symmetry ... Pm-3m (221)
Volume ... 28.95 Å³/atom
Formation energy (no corrections) ... 1.108 eV/atom
Total magnetization ... 0.0 μB per formula unit
Fermi-level density of states ... 9.34 states/eV/cell